Entry 1:
A plane-wave DFT calculation with GGA-PBE was carried out for an optimized crystal structure of BaCaMnSe2.

**V**: 134.0 Å³ per cell
**Raw total energy**: -22.9 eV/cell
**Magnetic moment**: 3.0 μB/f.u.

Structure (POSCAR):
```
BaCaMnSe2
1.0
-3.253 -4.070 0.768
3.729 -2.708 1.448
-0.789 1.568 4.966
Ca Mn Ba Se
1 1 1 2
Direct
0.000 0.500 0.000
0.000 0.000 0.000
0.500 0.500 0.500
0.000 0.000 0.500
0.500 0.000 0.000
```

***

Entry 2:
A plane-wave DFT calculation with GGA-PBE was carried out for an optimized crystal structure of BaCa2MnSe.

**V**: 180.3 Å³ per cell
**Raw total energy**: -13.4 eV/cell
**Magnetic moment**: 1.0 μB/f.u.

Structure (POSCAR):
```
BaCa2MnSe
1.0
-0.238 3.811 4.777
-4.748 -0.754 0.365
1.035 -4.687 3.790
Ca Mn Ba Se
2 1 1 1
Direct
0.000 0.000 0.500
0.500 0.000 0.000
0.000 0.500 0.000
0.000 0.000 0.000
0.500 0.500 0.500
```

***

Entry 3:
A plane-wave DFT calculation with GGA-PBE was carried out for an optimized crystal structure of Ba2CaMnV.

**V**: 213.2 Å³ per cell
**Formation energy from the elements**: 1.026 eV/atom
**Raw total energy**: -19.0 eV/cell
**Magnetic moment**: 7.7 μB/f.u.

Structure (POSCAR):
```
Ba2CaMnV
1.0
-1.411 -4.558 -3.740
0.015 -3.683 4.483
-5.896 1.081 0.907
Ca Mn Ba V
1 1 2 1
Direct
0.000 0.500 0.000
0.500 0.500 0.500
0.000 0.000 0.500
0.500 0.000 0.000
0.000 0.000 0.000
```